(1)
Crystalline Rb2VOsI6 at its relaxed geometry. Source: Alexandria, functional GGA-PBE.

Structure (POSCAR):
```
Rb2VOsI6
1.0
-3.9919 3.9919 5.6054
3.9919 -3.9919 5.6054
3.9919 3.9919 -5.6054
Rb V Os I
2 1 1 6
direct
0.2500 0.7500 0.5000
0.7500 0.2500 0.5000
0.0000 0.0000 0.0000
0.5000 0.5000 0.0000
0.2538 0.2538 0.0000
0.2552 0.2552 0.5104
0.2552 0.7448 0.0000
0.7448 0.2552 0.0000
0.7448 0.7448 0.4896
0.7462 0.7462 0.0000
```

## Properties
* SG: No. 139
* energy relative to the elements, uncorrected: -0.265 eV/atom

=====

(2)
Crystalline Pr2SbTe4 at its relaxed geometry. Source: Alexandria, functional GGA-PBE.

Structure (POSCAR):
```
Pr2SbTe4
1.0
16.0208 0.0000 0.0000
0.0000 4.6681 0.0000
-3.7524 0.0000 6.8614
Pr Sb Te
4 2 8
direct
0.2486 0.0000 0.2624
0.2514 0.5000 0.7376
0.7486 0.5000 0.2624
0.7514 0.0000 0.7376
0.0000 0.5000 0.5000
0.5000 0.0000 0.5000
0.1161 0.5000 0.2738
0.1222 0.0000 0.7929
0.3778 0.5000 0.2071
0.3839 0.0000 0.7262
0.6161 0.0000 0.2738
0.6222 0.5000 0.7929
0.8778 0.0000 0.2071
0.8839 0.5000 0.7262
```

## Properties
* SG: No. 12
* energy relative to the elements, uncorrected: -0.916 eV/atom

=====

(3)
Crystalline SmHo4Sc3 at its relaxed geometry. Source: Alexandria, functional GGA-PBE.

Structure (POSCAR):
```
SmHo4Sc3
1.0
3.3258 0.0000 0.0000
0.0000 11.1814 0.0000
0.0000 0.0000 12.5134
Sm Ho Sc
2 8 6
direct
0.0000 0.0000 0.0000
0.5000 0.5000 0.5000
0.0000 0.2535 0.1330
0.0000 0.2535 0.8670
0.0000 0.7465 0.1330
0.0000 0.7465 0.8670
0.5000 0.2465 0.3670
0.5000 0.2465 0.6330
0.5000 0.7535 0.3670
0.5000 0.7535 0.6330
0.0000 0.0000 0.5000
0.0000 0.5000 0.2579
0.0000 0.5000 0.7421
0.5000 0.0000 0.2421
0.5000 0.0000 0.7579
0.5000 0.5000 0.0000
```

## Properties
* SG: No. 71
* energy relative to the elements: 180 meV/atom